Here is a geometry-optimized TaSeO2 structure from Alexandria. Energies are from GGA-PBE.

Unit cell a=3.512 b=3.512 c=16.883 alpha=90.00 beta=90.00 gamma=120.00
Sites, in units of the cell vectors:
Ta1 0.000 0.000 0.000
Ta2 0.333 0.667 0.667
Ta3 0.667 0.333 0.333
Se1 0.000 0.000 0.500
Se2 0.333 0.667 0.167
Se3 0.667 0.333 0.833
O1 0.000 0.000 0.116
O2 0.000 0.000 0.884
O3 0.333 0.667 0.550
O4 0.333 0.667 0.783
O5 0.667 0.333 0.217
O6 0.667 0.333 0.450

As for the energy relative to the elements, uncorrected: -0.054 eV per atom. Its density is 8.1 g/cm3. As for the raw total energy: -76.41 eV per cell. Its symmetry is R-3m (166). For the total moment, the calculation gives 0.000 μB per cell.

=====

Here is a geometry-optimized TcBi3C structure from Alexandria. Energies are from GGA-PBE.

Unit cell a=4.905 b=4.905 c=4.905 alpha=90.00 beta=90.00 gamma=90.00
Sites, in units of the cell vectors:
Tc1 0.000 0.000 0.000
Bi1 0.000 0.500 0.500
Bi2 0.500 0.000 0.500
Bi3 0.500 0.500 0.000
C1 0.500 0.500 0.500

The calculation puts the energy above the lowest structure with this stoichiometry at 0.0000 eV/atom. Its density is 10.4 g/cm3. As for the raw total energy: -24.14 eV per cell. Its energy of formation from the pure elements is 7.1 eV/f.u. Its symmetry is Pm-3m (221). For the total moment, the calculation gives 2.629 μB per cell.

=====

Here is a geometry-optimized Sn2SbTe4 structure from Alexandria. Energies are from GGA-PBE.

Unit cell a=8.183 b=13.928 c=4.225 alpha=90.00 beta=90.00 gamma=90.00
Sites, in units of the cell vectors:
Sn1 0.140 0.153 0.000
Sn2 0.360 0.653 0.000
Sn3 0.640 0.347 0.000
Sn4 0.860 0.847 0.000
Sb1 0.000 0.500 0.500
Sb2 0.500 0.000 0.500
Te1 0.120 0.708 0.500
Te2 0.245 0.946 0.000
Te3 0.255 0.446 0.000
Te4 0.380 0.208 0.500
Te5 0.620 0.792 0.500
Te6 0.745 0.554 0.000
Te7 0.755 0.054 0.000
Te8 0.880 0.292 0.500

The calculation puts the energy above the lowest structure with this stoichiometry at 0.0397 eV/atom. As for the energy relative to the elements, uncorrected: -0.136 eV per atom. Its density is 6.0 g/cm3. As for the raw total energy: -51.30 eV per cell. Its symmetry is Pbam (55). For the total moment, the calculation gives 0.000 μB per cell.

=====

Here is a geometry-optimized CaZnRh2 structure from Alexandria. Energies are from GGA-PBE.

Unit cell a=4.276 b=4.276 c=17.729 alpha=90.00 beta=90.00 gamma=90.00
Sites, in units of the cell vectors:
Ca1 0.000 0.000 0.000
Ca2 0.000 0.500 0.250
Ca3 0.500 0.000 0.750
Ca4 0.500 0.500 0.500
Zn1 0.000 0.000 0.500
Zn2 0.000 0.500 0.750
Zn3 0.500 0.000 0.250
Zn4 0.500 0.500 0.000
Rh1 0.151 0.250 0.625
Rh2 0.250 0.651 0.875
Rh3 0.250 0.849 0.375
Rh4 0.349 0.250 0.125
Rh5 0.651 0.750 0.125
Rh6 0.750 0.151 0.375
Rh7 0.750 0.349 0.875
Rh8 0.849 0.750 0.625

Its density is 6.4 g/cm3. As for the raw total energy: -71.52 eV per cell. Its energy of formation from the pure elements is 0.1 eV/f.u. Its symmetry is I-42d (122). For the total moment, the calculation gives 0.000 μB per cell.

=====

Here is a geometry-optimized BaIn2AgRh structure from Alexandria. Energies are from GGA-PBE.

Unit cell a=5.115 b=5.115 c=5.444 alpha=90.00 beta=90.00 gamma=90.00
Sites, in units of the cell vectors:
Ba1 0.000 0.000 0.000
In1 0.000 0.500 0.500
In2 0.500 0.000 0.500
Ag1 0.500 0.500 0.000
Rh1 0.500 0.500 0.500

The calculation puts the energy above the lowest structure with this stoichiometry at 0.0000 eV/atom. Its density is 6.7 g/cm3. As for the raw total energy: -19.00 eV per cell. Its energy of formation from the pure elements is -1.4 eV/f.u. Its symmetry is P4/mmm (123). For the total moment, the calculation gives 0.000 μB per cell.

=====

Here is a geometry-optimized LaMnOs2 structure from Alexandria. Energies are from GGA-PBE.

Unit cell a=3.047 b=4.802 c=9.523 alpha=90.00 beta=90.00 gamma=90.00
Sites, in units of the cell vectors:
La1 0.000 0.000 0.000
La2 0.500 0.500 0.000
Mn1 0.000 0.500 0.295
Mn2 0.500 0.000 0.295
Os1 0.000 0.000 0.500
Os2 0.000 0.500 0.730
Os3 0.500 0.000 0.730
Os4 0.500 0.500 0.500

The calculation puts the energy above the lowest structure with this stoichiometry at 0.4577 eV/atom. Its density is 13.7 g/cm3. As for the raw total energy: -67.22 eV per cell. Its energy of formation from the pure elements is 2.9 eV/f.u. Its symmetry is Cmm2 (35). For the total moment, the calculation gives 4.974 μB per cell.

=====

Here is a geometry-optimized TmAlGaPt3 structure from Alexandria. Energies are from GGA-PBE.

Unit cell a=8.483 b=8.483 c=5.568 alpha=90.00 beta=90.00 gamma=141.52
Sites, in units of the cell vectors:
Tm1 0.204 0.796 0.750
Tm2 0.796 0.204 0.250
Al1 0.406 0.594 0.250
Al2 0.594 0.406 0.750
Ga1 0.099 0.901 0.250
Ga2 0.901 0.099 0.750
Pt1 0.249 0.249 0.000
Pt2 0.249 0.249 0.500
Pt3 0.253 0.747 0.250
Pt4 0.747 0.253 0.750
Pt5 0.751 0.751 0.000
Pt6 0.751 0.751 0.500

Its density is 11.3 g/cm3. As for the raw total energy: -68.52 eV per cell. Its energy of formation from the pure elements is -4.9 eV/f.u. Its symmetry is Cmcm (63). For the total moment, the calculation gives 0.000 μB per cell.

=====

Here is a geometry-optimized Be2GaAsO6 structure from Alexandria. Energies are from GGA-PBE.

Unit cell a=6.380 b=6.380 c=5.244 alpha=108.09 beta=108.09 gamma=79.54
Sites, in units of the cell vectors:
Be1 0.127 0.272 0.151
Be2 0.272 0.127 0.651
Be3 0.728 0.873 0.349
Be4 0.873 0.728 0.849
Ga1 0.402 0.598 0.750
Ga2 0.598 0.402 0.250
As1 0.220 0.780 0.250
As2 0.780 0.220 0.750
O1 0.078 0.217 0.808
O2 0.139 0.665 0.876
O3 0.217 0.078 0.308
O4 0.291 0.476 0.317
O5 0.335 0.861 0.624
O6 0.476 0.291 0.817
O7 0.524 0.709 0.183
O8 0.665 0.139 0.376
O9 0.709 0.524 0.683
O10 0.783 0.922 0.692
O11 0.861 0.335 0.124
O12 0.922 0.783 0.192

As for the energy relative to the elements, uncorrected: -1.910 eV per atom. Its density is 4.5 g/cm3. As for the raw total energy: -127.97 eV per cell. Its symmetry is C2/c (15). For the total moment, the calculation gives 0.000 μB per cell.

=====

Here is a geometry-optimized TbHo3Tm5 structure from Alexandria. Energies are from GGA-PBE.

Unit cell a=9.133 b=9.133 c=10.935 alpha=126.25 beta=126.25 gamma=56.89
Sites, in units of the cell vectors:
Tb1 0.248 0.752 0.750
Tb2 0.752 0.248 0.250
Ho1 0.000 0.000 0.000
Ho2 0.000 0.000 0.500
Ho3 0.186 0.250 0.968
Ho4 0.250 0.186 0.468
Ho5 0.750 0.814 0.532
Ho6 0.814 0.750 0.032
Tm1 0.103 0.534 0.332
Tm2 0.284 0.524 0.889
Tm3 0.324 0.676 0.250
Tm4 0.466 0.897 0.168
Tm5 0.476 0.716 0.611
Tm6 0.524 0.284 0.389
Tm7 0.534 0.103 0.832
Tm8 0.676 0.324 0.750
Tm9 0.716 0.476 0.111
Tm10 0.897 0.466 0.668

The calculation puts the energy above the lowest structure with this stoichiometry at 0.0000 eV/atom. Its density is 8.8 g/cm3. As for the raw total energy: -77.21 eV per cell. Its energy of formation from the pure elements is 2.1 eV/f.u. Its symmetry is C2/c (15). For the total moment, the calculation gives 0.000 μB per cell.

=====

Here is a geometry-optimized LiZrRu structure from Alexandria. Energies are from GGA-PBE.

Unit cell a=6.175 b=6.175 c=6.175 alpha=90.00 beta=90.00 gamma=90.00
Sites, in units of the cell vectors:
Li1 0.000 0.000 0.000
Li2 0.000 0.500 0.500
Li3 0.500 0.000 0.500
Li4 0.500 0.500 0.000
Zr1 0.250 0.250 0.750
Zr2 0.250 0.750 0.250
Zr3 0.750 0.250 0.250
Zr4 0.750 0.750 0.750
Ru1 0.000 0.000 0.500
Ru2 0.000 0.500 0.000
Ru3 0.500 0.000 0.000
Ru4 0.500 0.500 0.500

The calculation puts the energy above the lowest structure with this stoichiometry at 0.7794 eV/atom. Its density is 5.6 g/cm3. As for the raw total energy: -72.36 eV per cell. Its energy of formation from the pure elements is 1.6 eV/f.u. Its symmetry is F-43m (216). For the total moment, the calculation gives 0.001 μB per cell.

=====

Here is a geometry-optimized CeDyCuIr structure from Alexandria. Energies are from GGA-PBE.

Unit cell a=6.959 b=6.959 c=6.959 alpha=90.00 beta=90.00 gamma=90.00
Sites, in units of the cell vectors:
Ce1 0.000 0.000 0.000
Ce2 0.000 0.500 0.500
Ce3 0.500 0.000 0.500
Ce4 0.500 0.500 0.000
Dy1 0.000 0.000 0.500
Dy2 0.000 0.500 0.000
Dy3 0.500 0.000 0.000
Dy4 0.500 0.500 0.500
Cu1 0.250 0.250 0.750
Cu2 0.250 0.750 0.250
Cu3 0.750 0.250 0.250
Cu4 0.750 0.750 0.750
Ir1 0.250 0.250 0.250
Ir2 0.250 0.750 0.750
Ir3 0.750 0.250 0.750
Ir4 0.750 0.750 0.250

Its density is 11.0 g/cm3. As for the raw total energy: -101.76 eV per cell. Its energy of formation from the pure elements is -1.9 eV/f.u. Its symmetry is F-43m (216). For the total moment, the calculation gives 1.194 μB per cell.